No. 1
A relaxed structure of TbPr2Sn. Source: Alexandria via LeMat-Bulk, functional GGA-PBE.

Values from the calculation:
Total magnetic moment ... 0.00 μB per formula unit
E_tot ... -76.95 eV per cell
Energy above the most stable polymorph in this dataset ... 0.176 eV per atom
Fermi-level density of states ... 27.54 states/eV per cell

Cell lengths 7.881, 7.881, 7.881 Å; angles 90.00, 90.00, 90.00 degrees
Space group Fm-3m (No. 225)
Unique sites:
Tb (0.000, 0.000, 0.000) (multiplicity 4)
Pr (0.250, 0.250, 0.250) (multiplicity 8)
Sn (0.000, 0.000, 0.500) (multiplicity 4)

---

No. 2
A relaxed structure of Tb3Pr4Sn4. Source: Alexandria via LeMat-Bulk, functional GGA-PBE.

Values from the calculation:
Total magnetic moment ... 0.00 μB per formula unit
E_tot ... -110.45 eV per cell
Fermi-level density of states ... 18.01 states/eV per cell

Cell lengths 3.589, 9.690, 19.313 Å; angles 90.00, 90.00, 90.00 degrees
Space group Immm (No. 71)
Unique sites:
Tb (0.000, 0.000, 0.000) (multiplicity 2)
Tb (0.000, 0.500, 0.090) (multiplicity 4)
Pr (0.000, 0.325, 0.336) (multiplicity 8)
Sn (0.000, 0.000, 0.278) (multiplicity 4)
Sn (0.000, 0.222, 0.500) (multiplicity 4)

---

Question: Among the records above, which one has the highest E_tot?
Answer: TbPr2Sn

---

What did the second record say?
A relaxed structure of Tb3Pr4Sn4. Source: Alexandria via LeMat-Bulk, functional GGA-PBE.

Values from the calculation:
Total magnetic moment ... 0.00 μB per formula unit
E_tot ... -110.45 eV per cell
Fermi-level density of states ... 18.01 states/eV per cell

Cell lengths 3.589, 9.690, 19.313 Å; angles 90.00, 90.00, 90.00 degrees
Space group Immm (No. 71)
Unique sites:
Tb (0.000, 0.000, 0.000) (multiplicity 2)
Tb (0.000, 0.500, 0.090) (multiplicity 4)
Pr (0.000, 0.325, 0.336) (multiplicity 8)
Sn (0.000, 0.000, 0.278) (multiplicity 4)
Sn (0.000, 0.222, 0.500) (multiplicity 4)

---

Question: Which of these has the highest E_tot?
Answer: TbPr2Sn